[1]
The following is a PBEsol calculation of crystalline TaFe at its relaxed geometry, from Alexandria via LeMat-Bulk.

Calculated values
Space group: No. 194

Cell lengths 4.084, 4.084, 4.866 Å; angles 90.00, 90.00, 120.00 degrees
Fractional coordinates of all 4 atoms:
1 Ta 0.333 0.667 0.250
2 Ta 0.667 0.333 0.750
3 Fe 0.333 0.667 0.750
4 Fe 0.667 0.333 0.250

***

[2]
The following is a PBEsol calculation of crystalline TaFe2 at its relaxed geometry, from Alexandria via LeMat-Bulk.

Calculated values
Space group: No. 194

Cell lengths 4.696, 4.696, 7.723 Å; angles 90.00, 90.00, 120.00 degrees
Fractional coordinates of all 12 atoms:
1 Ta 0.333 0.667 0.066
2 Ta 0.333 0.667 0.434
3 Ta 0.667 0.333 0.566
4 Ta 0.667 0.333 0.934
5 Fe 0.000 0.000 0.000
6 Fe 0.000 0.000 0.500
7 Fe 0.171 0.342 0.750
8 Fe 0.171 0.829 0.750
9 Fe 0.342 0.171 0.250
10 Fe 0.658 0.829 0.750
11 Fe 0.829 0.171 0.250
12 Fe 0.829 0.658 0.250

***

Total energy
In order: -9.871; -10.411
Unit: eV/atom
Calculated volume
In order: 70.3; 147.5
Unit: Å³ per cell